No. 1
The following is a DFT calculation (PBE-GGA) of a relaxed structure of CaY2Se.

abc: 5.472 5.472 5.472
angles: 60.00 60.00 60.00
Sites, in units of the cell vectors:
Ca 0.000 0.000 0.000
Y 0.500 0.500 0.500
Y 0.750 0.750 0.750
Se 0.250 0.250 0.250

## Properties
The value obtained for the calculated total energy is -18.6 eV/cell. As for the crystal system: cubic.



No. 2
The following is a DFT calculation (PBE-GGA) of a relaxed structure of CaY4Se5.

abc: 7.108 7.108 7.108
angles: 99.60 99.60 131.79
Sites, in units of the cell vectors:
Ca 0.000 0.000 0.000
Y 0.200 0.399 0.599
Y 0.399 0.800 0.199
Y 0.601 0.200 0.801
Y 0.800 0.601 0.401
Se 0.099 0.700 0.798
Se 0.300 0.099 0.399
Se 0.500 0.500 0.000
Se 0.700 0.901 0.601
Se 0.901 0.300 0.202

## Properties
The value obtained for the calculated total energy is -63.4 eV/cell. As for the crystal system: tetragonal.



No. 3
The following is a DFT calculation (PBE-GGA) of a relaxed structure of CaY3Se.

abc: 5.516 5.516 5.516
angles: 90.00 90.00 90.00
Sites, in units of the cell vectors:
Ca 0.000 0.000 0.000
Y 0.000 0.500 0.500
Y 0.500 0.000 0.500
Y 0.500 0.500 0.000
Se 0.500 0.500 0.500

## Properties
The value obtained for the calculated total energy is -27.4 eV/cell. As for the crystal system: cubic.



No. 4
The following is a DFT calculation (PBE-GGA) of a relaxed structure of CaY2Se.

abc: 3.664 3.664 8.790
angles: 90.00 90.00 90.00
Sites, in units of the cell vectors:
Ca 0.000 0.000 0.000
Y 0.000 0.000 0.403
Y 0.500 0.500 0.680
Se 0.500 0.500 0.216

## Properties
The value obtained for the calculated total energy is -21.4 eV/cell. As for the crystal system: tetragonal.



No. 5
The following is a DFT calculation (PBE-GGA) of a relaxed structure of CaY3Se.

abc: 5.562 5.562 5.562
angles: 90.00 90.00 90.00
Sites, in units of the cell vectors:
Ca 0.000 0.000 0.000
Y 0.000 0.000 0.500
Y 0.000 0.500 0.000
Y 0.500 0.000 0.000
Se 0.500 0.500 0.500

## Properties
The value obtained for the calculated total energy is -20.4 eV/cell. As for the crystal system: cubic.



No. 6
The following is a DFT calculation (PBE-GGA) of a relaxed structure of CaY4Se2.

abc: 8.419 8.419 8.419
angles: 141.51 141.51 55.56
Sites, in units of the cell vectors:
Ca 0.000 0.000 0.000
Y 0.000 0.500 0.500
Y 0.217 0.217 0.000
Y 0.500 0.000 0.500
Y 0.783 0.783 0.000
Se 0.395 0.395 0.000
Se 0.605 0.605 0.000

## Properties
The value obtained for the calculated total energy is -33.7 eV/cell. As for the crystal system: tetragonal.